Below is NdTm2Pa after structural relaxation, with properties calculated at the GGA-PBE level.

As for the space-group type: R3m (160). The density of states at the Fermi level is 7.06 states/eV/cell. For the magnetization, the calculation gives 0.0000 μB/atom. The calculated density is 10.10 Mg/m³. As for the final energy: -22.8 eV per formula unit. As for the formation enthalpy at 0 K: 112.9 meV/atom. The crystal system is trigonal.

abc: 3.425 3.425 11.709
angles: 81.59 81.59 60.00
Fractional coordinates of all 4 atoms:
1 Tm 0.246 0.246 0.261
2 Tm 0.087 0.087 0.739
3 Nd 0.666 0.666 0.001
4 Pa 0.500 0.500 0.499

=====

Below is NdTm2Pa after structural relaxation, with properties calculated at the GGA-PBE level.

As for the space-group type: P4/mmm (123). The density of states at the Fermi level is 7.15 states/eV/cell. For the magnetization, the calculation gives 0.0535 μB/atom. The calculated density is 9.99 Mg/m³. As for the final energy: -22.7 eV per formula unit. As for the formation enthalpy at 0 K: 121.5 meV/atom. The crystal system is tetragonal.

abc: 3.431 3.431 10.072
angles: 90.00 90.00 90.00
Site moments in Bohr magnetons follow the coordinates.
Fractional coordinates of all 4 atoms:
1 Tm 0.000 0.000 0.771  0.01
2 Tm 0.000 0.000 0.229  0.01
3 Nd 0.500 0.500 0.500  0.01
4 Pa 0.500 0.500 0.000  0.15

=====

Below is NdTm2Pa after structural relaxation, with properties calculated at the GGA-PBE level.

As for the space-group type: R-3m (166). The density of states at the Fermi level is 5.22 states/eV/cell. For the magnetization, the calculation gives 0.0000 μB/atom. The calculated density is 10.08 Mg/m³. As for the final energy: -22.0 eV per formula unit. As for the formation enthalpy at 0 K: 297.9 meV/atom. The crystal system is trigonal.

abc: 3.326 3.326 12.414
angles: 82.30 82.30 60.00
Fractional coordinates of all 4 atoms:
1 Tm 0.913 0.913 0.260
2 Tm 0.087 0.087 0.740
3 Nd 0.500 0.500 0.500
4 Pa 0.000 0.000 0.000